ScSbP | Alexandria via LeMat-Bulk | PBE-GGA | relaxed; energy above the most stable polymorph in this dataset = 1.324 eV/f.u.; crystal system = cubic; space group = No. 216; energy relative to the elements, uncorrected = -0.25 eV/atom
1.0
2.2217 -3.3154 2.2983
2.1643 0.9856 3.9439
-1.6785 -1.5521 3.9979
Sb P Sc
1 1 1
direct
0.0000 0.0000 0.0000
0.2500 0.2500 0.2500
0.5000 0.5000 0.5000

HoPaGa4 | Alexandria via LeMat-Bulk | PBE-GGA | relaxed; energy above the most stable polymorph in this dataset = 0.000 eV/f.u.; crystal system = tetragonal; space group = No. 119; formation energy from the elements = -0.472 eV/atom
1.0
-0.9459 -3.6779 -1.6453
3.9917 -0.6255 -0.8965
-0.5587 -1.0007 7.7635
Ga Ho Pa
4 1 1
direct
0.8324 0.3324 0.6648
0.4170 0.4170 0.8339
0.5830 0.5830 0.1661
0.6676 0.1676 0.3352
0.0000 0.0000 0.0000
0.2500 0.7500 0.5000

CoCuNi2 | Alexandria via LeMat-Bulk | PBE-GGA | relaxed; crystal system = orthorhombic; space group = No. 25; formation energy from the elements = 0.065 eV/atom
1.0
4.1119 0.0000 0.0000
0.0000 2.4837 -0.0030
0.0000 0.0068 4.3597
Co Ni Cu
1 2 1
direct
0.0000 0.6244 0.4565
0.0000 0.1248 0.9605
0.5000 0.1254 0.2916
0.5000 0.6254 0.7915

- Which formula does entry 2 have?
  HoPaGa4

Repeat the first record exactly.
ScSbP | Alexandria via LeMat-Bulk | PBE-GGA | relaxed; energy above the most stable polymorph in this dataset = 1.324 eV/f.u.; crystal system = cubic; space group = No. 216; energy relative to the elements, uncorrected = -0.25 eV/atom
1.0
2.2217 -3.3154 2.2983
2.1643 0.9856 3.9439
-1.6785 -1.5521 3.9979
Sb P Sc
1 1 1
direct
0.0000 0.0000 0.0000
0.2500 0.2500 0.2500
0.5000 0.5000 0.5000